{
  "formula": "PmAlRh4",
  "functional": "GGA-PBE",
  "state": "relaxed",
  "dos_ef_per_ev_atom": 1.07,
  "delta_e_f_mev_per_atom": -452,
  "final_energy_ev_per_atom": -6.769,
  "lattice_angstrom": [[-1.974, -0.485, 4.853], [-4.751, -2.148, 0.705], [-0.435, -4.760, 2.200]],
  "species": ["Rh", "Rh", "Rh", "Rh", "Al", "Pm"],
  "fractional_positions": [[0.626, 0.626, 0.122], [0.626, 0.122, 0.626], [0.626, 0.626, 0.626], [0.122, 0.626, 0.626], [0.000, 0.000, 0.000], [0.250, 0.250, 0.250]]
}